Entry 1:
BiIrPd2: relaxed, PBE.

Unit cell a=4.613 b=4.613 c=4.613 alpha=60.00 beta=60.00 gamma=60.00
Element x y z (fractional)
Bi  0.000  0.000  0.000
Ir  0.250  0.250  0.250
Pd  0.500  0.500  0.500
Pd  0.750  0.750  0.750

Entry 2:
Bi2Ir2Pd3: relaxed, PBE.

Unit cell a=11.753 b=11.753 c=3.091 alpha=90.00 beta=90.00 gamma=161.89
Element x y z (fractional)
Bi  0.184  0.816  0.000
Bi  0.816  0.184  0.000
Ir  0.057  0.943  0.000
Ir  0.943  0.057  0.000
Pd  0.382  0.618  0.500
Pd  0.500  0.500  0.500
Pd  0.618  0.382  0.500

Entry 3:
PmBiIr: relaxed, PBE.

Unit cell a=4.809 b=4.809 c=4.809 alpha=60.00 beta=60.00 gamma=60.00
Element x y z (fractional)
Pm  0.000  0.000  0.000
Bi  0.500  0.500  0.500
Ir  0.750  0.750  0.750

As for the polymorph energy (0 for the lowest one): 0.0 meV per atom.

Entry 4:
Pm5BiIr2: relaxed, PBE.

Unit cell a=8.956 b=8.956 c=8.956 alpha=126.66 beta=126.66 gamma=78.81
Element x y z (fractional)
Pm  0.000  0.000  0.000
Pm  0.025  0.525  0.814
Pm  0.211  0.025  0.500
Pm  0.289  0.789  0.814
Pm  0.475  0.289  0.500
Pm  0.500  0.500  0.000
Pm  0.525  0.711  0.500
Pm  0.711  0.211  0.186
Pm  0.789  0.975  0.500
Pm  0.975  0.475  0.186
Bi  0.250  0.250  0.000
Bi  0.750  0.750  0.000
Ir  0.140  0.360  0.500
Ir  0.360  0.860  0.220
Ir  0.640  0.140  0.780
Ir  0.860  0.640  0.500

| no. | calculated total energy (eV per atom) |
| --- | --- |
| 1 | -5.74 |
| 2 | -5.76 |
| 3 | -6.46 |
| 4 | -6.38 |